Record 1
NaTlCuSb PBE optimized geometry; raw formation energy = 0.024 eV/atom; final energy = -2.95 eV/atom; total moment = 0.0 μB per formula unit
1.0
0.000 3.571 3.571
3.571 0.000 3.571
3.571 3.571 0.000
Na Tl Cu Sb
1 1 1 1
Cartesian
0.000 0.000 0.000 Na
1.786 1.786 1.786 Tl
3.571 3.571 3.571 Cu
5.357 5.357 5.357 Sb

Record 2
NaY2CuSb PBE optimized geometry; raw formation energy = 0.007 eV/atom; final energy = -4.49 eV/atom; total moment = 0.0 μB per formula unit
1.0
5.370 0.000 0.000
0.000 5.370 0.000
0.000 0.000 4.996
Na Y Cu Sb
1 2 1 1
Cartesian
0.000 0.000 0.000 Na
0.000 2.685 2.498 Y
2.685 0.000 2.498 Y
2.685 2.685 2.498 Cu
2.685 2.685 0.000 Sb

Which value of raw formation energy does entry 2 give?
0.007 eV/atom